<i>
# NbInTe2I

NbInTe2I after structural relaxation (GGA-PBE, Alexandria via LeMat-Bulk).

Calculated values
The calculated density comes out at 5.6 g/cm³. Its crystal system is tetragonal. Its spin magnetization is 0.84 μB per formula unit. As for the space group: P4/mmm.

Cell lengths 5.4414, 5.4414, 5.9092 Å; angles 90.00, 90.00, 90.00 degrees
Last column: nearest neighbours and their distance in Å.
Sites, in units of the cell vectors:
Nb  0.0000  0.0000  0.0000  4 Te 2.72, 2 I 2.95
In  0.5000  0.5000  0.5000  4 I 3.85, 8 Te 4.02
Te  0.0000  0.5000  0.0000  2 Nb 2.72
Te  0.5000  0.0000  0.0000  2 Nb 2.72
I  0.0000  0.0000  0.5000  2 Nb 2.95

<ii>
# NbInTe2I

NbInTe2I after structural relaxation (GGA-PBE, Alexandria via LeMat-Bulk).

Calculated values
The calculated density comes out at 5.4 g/cm³. Its crystal system is tetragonal. Its spin magnetization is 2.88 μB per formula unit. As for the space group: P4/mmm.

Cell lengths 5.6449, 5.6449, 5.6860 Å; angles 90.00, 90.00, 90.00 degrees
Last column: nearest neighbours and their distance in Å.
Sites, in units of the cell vectors:
Te  0.0000  0.5000  0.0000  2 In 2.82
Te  0.5000  0.0000  0.0000  2 In 2.82
In  0.0000  0.0000  0.0000  4 Te 2.82, 2 I 2.84
I  0.0000  0.0000  0.5000  2 In 2.84
Nb  0.5000  0.5000  0.5000  4 I 3.99, 8 Te 4.01

Pick <i>: it beats the second-best structure by 957 meV/atom.